The following is a PBE calculation of a geometry-optimized CaGa5Ir2 structure, from Alexandria via LeMat-Bulk.

Properties
Magnetization: 0.000 μB/cell
ΔH_f (0 K): -46.6 kJ per mole of atoms

```
data_CaGa5Ir2
_symmetry_space_group_name_H-M 'I m m m'
_symmetry_Int_Tables_number 71
_symmetry_space_group_name_Hall '-I 2 2'
_cell_length_a 3.858
_cell_length_b 7.427
_cell_length_c 10.270
_cell_angle_alpha 90.00
_cell_angle_beta 90.00
_cell_angle_gamma 90.00
loop_
_atom_site_label
_atom_site_type_symbol
_atom_site_fract_x
_atom_site_fract_y
_atom_site_fract_z
Ca1 Ca 0.000 0.000 0.000
Ga1 Ga 0.000 0.203 0.354
Ga2 Ga 0.000 0.500 0.000
Ir1 Ir 0.000 0.500 0.237
```